This record from OQMD describes a geometry-optimized BaNi2Os2 structure. The functional is PBE.

```
BaNi2Os2
1.0
2.704 -2.704 0.000
2.704 2.704 0.000
-2.704 0.000 6.119
Ba Ni Os
1 2 2
Direct
0.000 0.000 0.000
0.617 0.617 0.235
0.383 0.383 0.765
0.750 0.250 0.500
0.250 0.750 0.500
```

Total energy ... -6.60 eV/atom
Space-group type ... I4/mmm, No. 139
Magnetization ... 0.00 μB per formula unit

---

This record from OQMD describes a geometry-optimized BaNiP2Os structure. The functional is PBE.

```
BaNiP2Os
1.0
-1.944 1.944 6.388
1.944 -1.944 6.388
1.944 1.944 -6.388
Ba Ni Os P
1 1 1 2
Direct
0.000 0.000 0.000
0.250 0.750 0.500
0.750 0.250 0.500
0.348 0.348 0.000
0.652 0.652 0.000
```

Total energy ... -6.62 eV/atom
Space-group type ... I-4m2, No. 119
Magnetization ... 0.01 μB per formula unit

---

This record from OQMD describes a geometry-optimized BaNi8P4 structure. The functional is PBE.

```
BaNi8P4
1.0
-4.936 4.936 1.832
4.936 -4.936 1.832
4.936 4.936 -1.832
Ba Ni P
1 8 4
Direct
0.000 0.000 0.000
0.764 0.343 0.107
0.366 0.986 0.353
0.014 0.366 0.380
0.657 0.764 0.421
0.343 0.236 0.579
0.986 0.634 0.620
0.634 0.014 0.647
0.236 0.657 0.893
0.423 0.772 0.195
0.772 0.577 0.349
0.228 0.423 0.651
0.577 0.228 0.805
```

Total energy ... -5.87 eV/atom
Space-group type ... I4/m, No. 87
Magnetization ... 0.01 μB per formula unit